1.
Compound: CaAcAs2
Source: the Alexandria database
Functional: PBE
Structure: optimized geometry

abc: 7.3937 7.3937 7.3937
angles: 35.56 35.56 35.56
Closest atoms and distances in Å follow each position.
Fractional positions:
Ca 0.0000 0.0000 0.0000  6 As 3.00-3.10
Ac 0.1734 0.1734 0.1734  6 As 3.19-3.23
As 0.5953 0.5953 0.5953  3 Ca 3.00, 1 As 3.16, 3 Ac 3.19
As 0.7478 0.7478 0.7478  3 Ca 3.10, 1 As 3.16, 3 Ac 3.23

Values from the calculation:
Calculated formation energy = -1.089 eV per atom
Space group = No. 160
DOS(E_F) = 2.3 states/eV/f.u.
Offset from the most stable computed form = 42 meV/atom
Raw total energy = -19.8 eV/cell
Total moment = 0.0 μB per cell

2.
Compound: Cs2TaTlO4
Source: the Alexandria database
Functional: PBE
Structure: optimized geometry

abc: 6.4510 6.4510 6.4510
angles: 114.15 114.15 100.47
Closest atoms and distances in Å follow each position.
Fractional positions:
Cs 0.0000 0.0000 0.0000  4 O 2.96
Cs 0.7500 0.2500 0.5000  8 O 3.42-3.59
Ta 0.2500 0.7500 0.5000  4 O 1.88
Tl 0.5000 0.5000 0.0000  4 O 2.70
O 0.2406 0.0499 0.5297  1 Ta 1.88
O 0.2891 0.7594 0.8093  1 Ta 1.88
O 0.5201 0.7109 0.4703  1 Ta 1.88
O 0.9501 0.4799 0.1907  1 Ta 1.88

Values from the calculation:
Formation energy (no corrections) = -2.0127 eV per atom
Space group = No. 82
DOS(E_F) = 0.0 states/eV/f.u.
Raw total energy = -51.9 eV/cell
Total moment = 0.0 μB per cell